DFT (PBE) results for a relaxed structure of SrHf2S.

```
16
Lattice="5.224 0.000 0.000 0.000 5.224 0.000 0.000 0.000 18.076" Properties=species:S:1:pos:R:3 pbc="T T T"
Sr 0.000 0.000 0.000
Sr 0.000 2.612 4.519
Sr 2.612 0.000 13.557
Sr 2.612 2.612 9.038
Hf 0.162 3.918 11.298
Hf 1.306 0.162 6.779
Hf 1.306 2.450 15.817
Hf 2.450 3.918 2.260
Hf 2.774 1.306 2.260
Hf 3.918 2.774 15.817
Hf 3.918 5.062 6.779
Hf 5.062 1.306 11.298
S 0.000 0.000 9.038
S 0.000 2.612 13.557
S 2.612 0.000 4.519
S 2.612 2.612 0.000
```

Computed properties:
energy relative to the elements, uncorrected	0.180	eV per atom
density of states at the Fermi level	10.594	states/eV per cell


DFT (PBE) results for a relaxed structure of Nb2HgBi.

```
16
Lattice="4.159 0.000 0.000 0.000 4.159 0.000 0.000 0.000 21.000" Properties=species:S:1:pos:R:3 pbc="T T T"
Nb 0.983 1.040 2.625
Nb 1.040 3.063 7.875
Nb 1.040 3.176 18.375
Nb 1.096 1.040 13.125
Nb 3.063 3.119 13.125
Nb 3.119 0.983 18.375
Nb 3.119 1.096 7.875
Nb 3.176 3.119 2.625
Hg 0.000 0.000 0.000
Hg 0.000 2.080 5.250
Hg 2.080 0.000 15.750
Hg 2.080 2.080 10.500
Bi 0.000 0.000 10.500
Bi 0.000 2.080 15.750
Bi 2.080 0.000 5.250
Bi 2.080 2.080 0.000
```

Computed properties:
energy of formation	0.6133	eV/atom
density of states at the Fermi level	22.320	states/eV per cell


DFT (PBE) results for a relaxed structure of Y2Cd3Cu2.

```
14
Lattice="9.798 0.000 0.000 0.000 4.430 0.000 -2.722 0.000 6.850" Properties=species:S:1:pos:R:3 pbc="T T T"
Y 0.567 0.000 1.939
Y 1.609 2.215 4.911
Y 5.466 2.215 1.939
Y 6.508 0.000 4.911
Cd -1.361 2.215 3.425
Cd -1.286 2.215 6.435
Cd 3.463 0.000 0.414
Cd 3.538 0.000 3.425
Cd 3.613 0.000 6.435
Cd 8.362 2.215 0.414
Cu -0.349 0.000 4.757
Cu 2.526 2.215 2.092
Cu 4.550 2.215 4.757
Cu 7.425 0.000 2.092
```

Computed properties:
energy of formation	-0.2664	eV/atom
density of states at the Fermi level	9.918	states/eV per cell


no.,magnetization (μB/f.u.)
1,0.00
2,0.00
3,0.00